Record 1
The following is a PBE calculation of Ac12Ni5Hg3 after structural relaxation, from Alexandria.

Energy of formation from the pure elements: -77 meV/atom

Cell: 15.6561 15.6561 15.6561 Å, 109.47 109.47 109.47°
Element x y z (fractional)
Ac  0.0303  0.2078  0.1222
Ac  0.0303  0.3225  0.9081
Ac  0.0856  0.7078  0.6775
Ac  0.0856  0.8778  0.4081
Ac  0.0919  0.6222  0.4144
Ac  0.0919  0.9697  0.6775
Ac  0.1222  0.0303  0.2078
Ac  0.1222  0.5919  0.9144
Ac  0.1775  0.2078  0.5856
Ac  0.1775  0.4697  0.5919
Ac  0.2078  0.1222  0.0303
Ac  0.2078  0.5856  0.1775
Ac  0.2922  0.3225  0.9144
Ac  0.2922  0.4697  0.3778
Ac  0.3225  0.9081  0.0303
Ac  0.3225  0.9144  0.2922
Ac  0.3778  0.2922  0.4697
Ac  0.3778  0.5856  0.9081
Ac  0.4081  0.0856  0.8778
Ac  0.4081  0.8225  0.5303
Ac  0.4144  0.0919  0.6222
Ac  0.4144  0.8225  0.7922
Ac  0.4697  0.3778  0.2922
Ac  0.4697  0.5919  0.1775
Ac  0.5303  0.4081  0.8225
Ac  0.5303  0.6222  0.7078
Ac  0.5856  0.1775  0.2078
Ac  0.5856  0.9081  0.3778
Ac  0.5919  0.1775  0.4697
Ac  0.5919  0.9144  0.1222
Ac  0.6222  0.4144  0.0919
Ac  0.6222  0.7078  0.5303
Ac  0.6775  0.0856  0.7078
Ac  0.6775  0.0919  0.9697
Ac  0.7078  0.5303  0.6222
Ac  0.7078  0.6775  0.0856
Ac  0.7922  0.4144  0.8225
Ac  0.7922  0.8778  0.9697
Ac  0.8225  0.5303  0.4081
Ac  0.8225  0.7922  0.4144
Ac  0.8778  0.4081  0.0856
Ac  0.8778  0.9697  0.7922
Ac  0.9081  0.0303  0.3225
Ac  0.9081  0.3778  0.5856
Ac  0.9144  0.1222  0.5919
Ac  0.9144  0.2922  0.3225
Ac  0.9697  0.6775  0.0919
Ac  0.9697  0.7922  0.8778
Ni  0.0000  0.0000  0.0000
Ni  0.0000  0.0000  0.5000
Ni  0.0000  0.5000  0.0000
Ni  0.0000  0.5000  0.5000
Ni  0.1250  0.7500  0.8750
Ni  0.1250  0.8750  0.2500
Ni  0.2500  0.1250  0.8750
Ni  0.2500  0.6250  0.3750
Ni  0.3750  0.2500  0.6250
Ni  0.3750  0.6250  0.7500
Ni  0.5000  0.0000  0.0000
Ni  0.5000  0.0000  0.5000
Ni  0.5000  0.5000  0.0000
Ni  0.5000  0.5000  0.5000
Ni  0.6250  0.3750  0.2500
Ni  0.6250  0.7500  0.3750
Ni  0.7500  0.3750  0.6250
Ni  0.7500  0.8750  0.1250
Ni  0.8750  0.1250  0.7500
Ni  0.8750  0.2500  0.1250
Hg  0.1250  0.2500  0.3750
Hg  0.1250  0.3750  0.7500
Hg  0.2500  0.3750  0.1250
Hg  0.2500  0.8750  0.6250
Hg  0.3750  0.1250  0.2500
Hg  0.3750  0.7500  0.1250
Hg  0.6250  0.2500  0.8750
Hg  0.6250  0.8750  0.7500
Hg  0.7500  0.1250  0.3750
Hg  0.7500  0.6250  0.8750
Hg  0.8750  0.6250  0.2500
Hg  0.8750  0.7500  0.6250

---

Record 2
The following is a PBE calculation of Ac2NiHg after structural relaxation, from Alexandria.

Energy relative to the lowest polymorph listed for this composition: 0.04 eV per formula unit
Energy of formation from the pure elements: -314 meV/atom

Cell: 8.4264 8.4264 8.4264 Å, 29.79 29.79 29.79°
Element x y z (fractional)
Ac  0.0000  0.0000  0.0000
Ac  0.1996  0.1996  0.1996
Ni  0.5989  0.5989  0.5989
Hg  0.4326  0.4326  0.4326

---

Record 3
The following is a PBE calculation of AcNi4Hg after structural relaxation, from Alexandria.

Energy of formation from the pure elements: -136 meV/atom

Cell: 5.1819 5.1819 5.1819 Å, 60.00 60.00 60.00°
Element x y z (fractional)
Ac  0.0000  0.0000  0.0000
Ni  0.1302  0.6233  0.6233
Ni  0.6233  0.1302  0.6233
Ni  0.6233  0.6233  0.1302
Ni  0.6233  0.6233  0.6233
Hg  0.2500  0.2500  0.2500

---

Record 4
The following is a PBE calculation of Ac6NiHg3 after structural relaxation, from Alexandria.

Energy of formation from the pure elements: -264 meV/atom

Cell: 8.0363 8.4937 12.7296 Å, 90.00 120.30 90.00°
Element x y z (fractional)
Ac  0.0732  0.0525  0.2434
Ac  0.0732  0.4475  0.7434
Ac  0.2163  0.6916  0.0798
Ac  0.2163  0.8084  0.5798
Ac  0.3541  0.1666  0.0594
Ac  0.3541  0.3334  0.5594
Ac  0.6459  0.6666  0.4406
Ac  0.6459  0.8334  0.9406
Ac  0.7837  0.1916  0.4202
Ac  0.7837  0.3084  0.9202
Ac  0.9268  0.5525  0.2566
Ac  0.9268  0.9475  0.7566
Ni  0.0000  0.0000  0.0000
Ni  0.0000  0.5000  0.5000
Hg  0.3281  0.1151  0.7742
Hg  0.3281  0.3849  0.2742
Hg  0.5000  0.0000  0.5000
Hg  0.5000  0.5000  0.0000
Hg  0.6719  0.6151  0.7258
Hg  0.6719  0.8849  0.2258

---

> Which formula does entry 3 have?

AcNi4Hg